{"formula": "Pu4In5Pt2", "functional": "PBE", "state": "relaxed", "lattice_angstrom": [[3.6213, 0.0000, 0.0000], [0.0000, 8.0518, -5.3282], [0.0000, -7.2106, 14.3739]], "species": ["Pu", "Pu", "Pu", "Pu", "In", "In", "In", "In", "In", "Pt", "Pt"], "frac_coords": [[0.5000, 0.3467, 0.2827], [0.5000, 0.2006, 0.7002], [0.5000, 0.6533, 0.7173], [0.5000, 0.7994, 0.2998], [0.0000, 0.7745, 0.9592], [0.0000, 0.1682, 0.3543], [0.0000, 0.5000, 0.0000], [0.0000, 0.8318, 0.6457], [0.0000, 0.2255, 0.0408], [0.0000, 0.2662, 0.5887], [0.0000, 0.7338, 0.4113]], "final_energy_ev_per_atom": -7.946, "spacegroup": "P2/m (10)", "volume_a3_per_cell": 280}